No. 1
The following is a DFT calculation (PBE) of an optimized crystal structure of NdDyHgPb.

Output
SG: F-43m, No. 216
E: -3.8198 eV per atom
Crystal system: cubic
Density of states at the Fermi level: 4.91 states/eV/f.u.

Unit cell a=5.419 b=5.419 c=5.419 alpha=60.00 beta=60.00 gamma=60.00
Sites, in units of the cell vectors:
Nd 0.500 0.500 0.500
Pb 0.250 0.250 0.250
Dy 0.000 0.000 0.000
Hg 0.750 0.750 0.750

No. 2
The following is a DFT calculation (PBE) of an optimized crystal structure of CaNiH2.

Output
SG: R-3m, No. 166
Distance to the lowest polymorph of the same formula: 12.1 kJ/mol of atoms
Crystal system: trigonal
Density of states at the Fermi level: 0.61 states/eV/f.u.

Unit cell a=3.787 b=3.787 c=4.837 alpha=66.96 beta=66.96 gamma=60.00
Sites, in units of the cell vectors:
H 0.118 0.118 0.646
H 0.882 0.882 0.354
Ca 0.500 0.500 0.500
Ni 0.000 0.000 0.000

No. 3
The following is a DFT calculation (PBE) of an optimized crystal structure of AlS2F.

Output
ΔE_f (raw): -3.09 eV per formula unit
SG: R-3m, No. 166
Distance to the lowest polymorph of the same formula: 0.0 kJ/mol of atoms
Crystal system: trigonal
Density of states at the Fermi level: 0.00 states/eV/f.u.

Unit cell a=6.854 b=6.854 c=6.854 alpha=29.90 beta=29.90 gamma=29.90
Sites, in units of the cell vectors:
F 0.000 0.000 0.000
S 0.896 0.896 0.896
S 0.104 0.104 0.104
Al 0.500 0.500 0.500